[1]
First-principles (PBE-GGA) data for an optimized crystal structure of Rb2PuBiTe4, as listed in the Alexandria database.

Cell and atoms, written as POSCAR:
```
Rb2PuBiTe4
1.0
4.629 0.000 0.000
0.000 8.058 0.144
0.000 -2.829 8.468
Rb Pu Bi Te
2 1 1 4
direct
0.500 0.000 0.500
0.000 0.500 0.500
0.500 0.500 0.000
0.000 0.000 0.000
0.500 0.236 0.202
0.500 0.764 0.798
0.000 0.270 0.801
0.000 0.730 0.199
```

- Fermi-level density of states: 13.0 states/eV/cell
- DFT total energy: -0.1814 Ha/atom
- Raw formation energy: -846.3 meV per atom
- Calculated volume: 39.724 Å³/atom
- Space-group type: P2/m (10)

***

[2]
First-principles (PBE-GGA) data for an optimized crystal structure of Rb3Pu3BiTe8, as listed in the Alexandria database.

Cell and atoms, written as POSCAR:
```
Rb3Pu3BiTe8
1.0
-1.706 7.325 5.102
-5.305 -1.908 -7.128
-1.011 -5.897 8.127
Rb Pu Bi Te
3 3 1 8
direct
0.000 0.000 0.000
0.000 0.500 0.000
0.500 0.500 0.000
0.500 0.000 0.500
0.500 0.500 0.500
0.000 0.500 0.500
0.000 0.000 0.500
0.267 0.535 0.302
0.733 0.465 0.698
0.763 0.526 0.301
0.237 0.474 0.699
0.763 0.038 0.301
0.237 0.962 0.699
0.276 0.038 0.301
0.724 0.962 0.699
```

- Fermi-level density of states: 37.1 states/eV/cell
- DFT total energy: -0.2173 Ha/atom
- Raw formation energy: -919.6 meV per atom
- Calculated volume: 41.103 Å³/atom
- Space-group type: R-3m (166)

***

[3]
First-principles (PBE-GGA) data for an optimized crystal structure of Rb3PuBi2Te6, as listed in the Alexandria database.

Cell and atoms, written as POSCAR:
```
Rb3PuBi2Te6
1.0
-3.089 1.964 7.173
6.389 -4.882 -0.439
4.093 7.739 -1.864
Rb Pu Bi Te
3 1 2 6
direct
0.168 0.832 0.500
0.832 0.168 0.500
0.500 0.500 0.500
0.000 0.000 0.000
0.334 0.666 0.000
0.666 0.334 0.000
0.933 0.601 0.799
0.735 0.735 0.202
0.067 0.399 0.201
0.601 0.933 0.799
0.265 0.265 0.798
0.399 0.067 0.201
```

- Fermi-level density of states: 14.8 states/eV/cell
- DFT total energy: -0.1622 Ha/atom
- Raw formation energy: -761.0 meV per atom
- Calculated volume: 39.936 Å³/atom
- Space-group type: C2/m (12)

***

[4]
First-principles (PBE-GGA) data for an optimized crystal structure of Rb3Pu2BiTe6, as listed in the Alexandria database.

Cell and atoms, written as POSCAR:
```
Rb3Pu2BiTe6
1.0
8.011 0.000 0.001
-4.004 6.939 0.001
-1.335 -2.312 8.514
Rb Pu Bi Te
3 2 1 6
direct
0.165 0.835 0.500
0.835 0.165 0.500
0.500 0.500 0.500
0.333 0.667 0.000
0.667 0.333 0.000
0.000 0.000 0.000
0.933 0.596 0.800
0.729 0.729 0.200
0.067 0.404 0.200
0.596 0.933 0.800
0.271 0.271 0.800
0.404 0.067 0.200
```

- Fermi-level density of states: 24.8 states/eV/cell
- DFT total energy: -0.2006 Ha/atom
- Raw formation energy: -933.7 meV per atom
- Calculated volume: 39.444 Å³/atom
- Space-group type: C2/m (12)

***

What is the DFT total energy in the first record?
-0.1814 Ha/atom

***

Among the records above, which one has the highest Fermi-level density of states?
Rb3Pu3BiTe8